No. 1
A plane-wave DFT calculation with GGA-PBE was carried out for Li2SmCr2N4 after structural relaxation.

Structure (CIF):
```
data_Li2SmCr2N4
_cell_length_a 3.2690
_cell_length_b 7.0996
_cell_length_c 8.1554
_cell_angle_alpha 139.16
_cell_angle_beta 90.00
_cell_angle_gamma 103.31
_symmetry_space_group_name_H-M 'P 1'
_symmetry_Int_Tables_number 1
loop_
_symmetry_equiv_pos_as_xyz
'x,y,z'
loop_
_atom_site_label
_atom_site_fract_x
_atom_site_fract_y
_atom_site_fract_z
Li1 0.8706 0.7412 0.4691
Li2 0.1294 0.2588 0.5309
Sm1 0.0000 0.0000 0.0000
Cr1 0.3409 0.6818 0.0603
Cr2 0.6591 0.3182 0.9397
N1 0.7637 0.5273 0.8681
N2 0.2363 0.4727 0.1319
N3 0.5367 0.0734 0.2679
N4 0.4633 0.9266 0.7321
```

Summary:
**Fermi-level density of states**: 0.3953 states/eV per atom
**E_form (uncorrected)**: -0.682 eV/atom
**Crystal system**: monoclinic

No. 2
A plane-wave DFT calculation with GGA-PBE was carried out for Li2SmCrN4 after structural relaxation.

Structure (CIF):
```
data_Li2SmCrN4
_cell_length_a 5.3300
_cell_length_b 4.9779
_cell_length_c 4.9779
_cell_angle_alpha 81.57
_cell_angle_beta 57.63
_cell_angle_gamma 57.63
_symmetry_space_group_name_H-M 'P 1'
_symmetry_Int_Tables_number 1
loop_
_symmetry_equiv_pos_as_xyz
'x,y,z'
loop_
_atom_site_label
_atom_site_fract_x
_atom_site_fract_y
_atom_site_fract_z
Li1 0.5000 0.7499 0.2501
Li2 0.5000 0.2501 0.7499
Sm1 0.0000 0.0000 0.0000
Cr1 0.0000 0.5000 0.5000
N1 0.6181 0.5396 0.8423
N2 0.3819 0.1577 0.4604
N3 0.0000 0.4604 0.1577
N4 0.0000 0.8423 0.5396
```

Summary:
**Fermi-level density of states**: 0.4973 states/eV per atom
**E_form (uncorrected)**: -0.628 eV/atom
**Crystal system**: tetragonal

No. 3
A plane-wave DFT calculation with GGA-PBE was carried out for LiSmCrN3 after structural relaxation.

Structure (CIF):
```
data_LiSmCrN3
_cell_length_a 3.2693
_cell_length_b 5.8306
_cell_length_c 7.7972
_cell_angle_alpha 90.00
_cell_angle_beta 90.00
_cell_angle_gamma 106.28
_symmetry_space_group_name_H-M 'P 1'
_symmetry_Int_Tables_number 1
loop_
_symmetry_equiv_pos_as_xyz
'x,y,z'
loop_
_atom_site_label
_atom_site_fract_x
_atom_site_fract_y
_atom_site_fract_z
Li1 0.0000 0.0000 0.5000
Li2 0.0000 0.0000 0.0000
Sm1 0.7130 0.4260 0.7500
Sm2 0.2870 0.5740 0.2500
Cr1 0.4465 0.8930 0.7500
Cr2 0.5535 0.1070 0.2500
N1 0.6454 0.2908 0.4232
N2 0.3546 0.7092 0.5768
N3 0.3546 0.7092 0.9232
N4 0.6454 0.2908 0.0768
N5 0.0402 0.0805 0.7500
N6 0.9598 0.9195 0.2500
```

Summary:
**Fermi-level density of states**: 0.2357 states/eV per atom
**E_form (uncorrected)**: -0.792 eV/atom
**Crystal system**: orthorhombic